A geometry-optimized Pr2Sm2O5 structure, computed with GGA-PBE.

Lattice parameters (Å, degrees): 4.505 4.505 7.362 90.00 90.00 90.00
Fractional positions:
Pr  0.000  0.000  0.000
Pr  0.000  0.000  0.500
Sm  0.500  0.500  0.216
Sm  0.500  0.500  0.784
O  0.000  0.500  0.228
O  0.000  0.500  0.772
O  0.500  0.000  0.228
O  0.500  0.000  0.772
O  0.500  0.500  0.500

Computed properties:
Polymorph energy (0 for the lowest one) ... 0.0 meV per atom

***

A geometry-optimized KRb2Ag3Sb2 structure, computed with GGA-PBE.

Lattice parameters (Å, degrees): 8.468 8.468 8.468 44.38 44.38 44.38
Fractional positions:
K  0.000  0.000  0.000
Rb  0.413  0.413  0.413
Rb  0.587  0.587  0.587
Ag  0.000  0.000  0.500
Ag  0.000  0.500  0.000
Ag  0.500  0.000  0.000
Sb  0.256  0.256  0.256
Sb  0.744  0.744  0.744

Computed properties:
DFT total energy ... -22.4 eV/cell

***

A geometry-optimized PuTa structure, computed with GGA-PBE.

Lattice parameters (Å, degrees): 4.581 4.581 4.558 90.00 90.00 120.00
Fractional positions:
Pu  0.000  0.000  0.000
Pu  0.000  0.000  0.500
Ta  0.333  0.667  0.250
Ta  0.667  0.333  0.750

Computed properties:
ΔE_f ... 1.0742 eV per atom
Polymorph energy (0 for the lowest one) ... 630.3 meV per atom